Record 1
A relaxed Li2Np2Zn15 crystal, computed with GGA-PBE.

The energy of formation from the pure elements comes out at -0.0708 eV/atom.

The structure belongs to space group R-3m (No. 166, hexagonal axes); the cell edges are 9.0338, 9.0338 and 13.1070 Å and the angles 90.00°, 90.00° and 120.00°. The asymmetric unit holds Li at (0.0000, 0.0000, 0.1006), Np at (0.0000, 0.0000, 0.3433), Zn at (0.0000, 0.2969, 0.0000), Zn at (0.0000, 0.5000, 0.5000) and Zn at (0.0048, 0.5024, 0.1517).


Record 2
A relaxed LiO crystal, computed with GGA-PBE.

As for the polymorph energy (0 for the lowest one): 27 meV per atom.

The structure belongs to space group P4_2/mnm (No. 136); the cell edges are 4.839, 4.839 and 3.482 Å and the angles 90.00°, 90.00° and 90.00°. The asymmetric unit holds Li at (0.236, 0.236, 0.000) and O at (0.112, 0.112, 0.500).


Record 3
A relaxed LiO crystal, computed with GGA-PBE.

As for the polymorph energy (0 for the lowest one): 464 meV per atom.

The structure belongs to space group I4/m (No. 87); the cell edges are 7.261, 7.261 and 3.618 Å and the angles 90.00°, 90.00° and 90.00°. The asymmetric unit holds Li at (0.041, 0.733, 0.000) and O at (0.211, 0.721, 0.500).


Record 4
A relaxed LiO8 crystal, computed with GGA-PBE.

As for the polymorph energy (0 for the lowest one): 15 meV per atom.

The structure belongs to space group C2/m (No. 12); the cell edges are 8.206, 5.971 and 4.325 Å and the angles 90.00°, 112.51° and 90.00°. The asymmetric unit holds Li at (0.000, 0.000, 0.000), O at (0.031, 0.236, 0.657), O at (0.163, 0.500, 0.348) and O at (0.225, 0.500, 0.659).


Record 5
A relaxed LiO crystal, computed with GGA-PBE.

As for the polymorph energy (0 for the lowest one): 29 meV per atom.

The structure belongs to space group P-6m2 (No. 187); the cell edges are 3.1601, 3.1601 and 3.9919 Å and the angles 90.00°, 90.00° and 120.00°. The asymmetric unit holds Li at (0.0000, 0.0000, 0.0000), Li at (0.3333, 0.6667, 0.5000) and O at (0.6667, 0.3333, 0.3064).


Record 6
A relaxed LiO3 crystal, computed with GGA-PBE.

The calculation puts the uncorrected energy at -38.48 eV/cell.

The structure belongs to space group Imm2 (No. 44); the cell edges are 2.823, 5.028 and 5.653 Å and the angles 90.00°, 90.00° and 90.00°. The asymmetric unit holds Li at (0.000, 0.000, 0.000), O at (0.000, 0.000, 0.487) and O at (0.000, 0.223, 0.351).


| no. | theoretical density (g cm⁻³) | calculated volume (A^3/atom) |
| --- | --- | --- |
| 1 | 7.9 | 16.252 |
| 2 | 1.9 | 10.192 |
| 3 | 1.6 | 11.922 |
| 4 | 2.3 | 10.876 |
| 5 | 2.2 | 8.631 |
| 6 | 2.3 | 10.030 |